(1)
# TbCeGdSc

TbCeGdSc after structural relaxation (PBE-GGA, Alexandria via LeMat-Bulk).

Cell and atoms, written as CIF:
```
data_TbCeGdSc
_chemical_formula_sum 'Tb4 Ce4 Gd4 Sc4'
_space_group_name_H-M_alt 'F -4 3 m'
_space_group_IT_number 216
_space_group_name_Hall 'F -4 2 3'
_cell_length_a 7.837
_cell_length_b 7.837
_cell_length_c 7.837
_cell_angle_alpha 90.00
_cell_angle_beta 90.00
_cell_angle_gamma 90.00
loop_
_atom_site_label
_atom_site_type_symbol
_atom_site_fract_x
_atom_site_fract_y
_atom_site_fract_z
Tb1 Tb 0.000 0.000 0.000
Ce1 Ce 0.250 0.250 0.750
Gd1 Gd 0.250 0.250 0.250
Sc1 Sc 0.000 0.000 0.500
```

Energy relative to the elements in meV/atom: 149
Magnetic moment in μB/f.u.: 8.34

(2)
# Cs2NpBr4Cl2

Cs2NpBr4Cl2 after structural relaxation (PBE-GGA, Alexandria via LeMat-Bulk).

Cell and atoms, written as CIF:
```
data_Cs2NpBr4Cl2
_chemical_formula_sum 'Cs4 Np2 Br8 Cl4'
_space_group_name_H-M_alt 'C 1 2/m 1'
_space_group_IT_number 12
_space_group_name_Hall '-C 2y'
_cell_length_a 13.471
_cell_length_b 7.969
_cell_length_c 6.559
_cell_angle_alpha 90.00
_cell_angle_beta 93.09
_cell_angle_gamma 90.00
loop_
_atom_site_label
_atom_site_type_symbol
_atom_site_fract_x
_atom_site_fract_y
_atom_site_fract_z
Cs1 Cs 0.168 0.000 0.265
Np1 Np 0.000 0.500 0.000
Br1 Br 0.088 0.249 0.774
Cl1 Cl 0.158 0.500 0.245
```

Formation energy from raw total energies in kJ/mol of atoms: -161.3
Magnetic moment in μB/f.u.: 3.00

(3)
# Ge2S

Ge2S after structural relaxation (PBE-GGA, Alexandria via LeMat-Bulk).

Cell and atoms, written as CIF:
```
data_Ge2S
_chemical_formula_sum 'Ge4 S2'
_space_group_name_H-M_alt 'P 1'
_space_group_IT_number 1
_space_group_name_Hall 'P 1'
_cell_length_a 5.042
_cell_length_b 5.399
_cell_length_c 5.882
_cell_angle_alpha 80.63
_cell_angle_beta 67.33
_cell_angle_gamma 83.04
loop_
_atom_site_label
_atom_site_type_symbol
_atom_site_fract_x
_atom_site_fract_y
_atom_site_fract_z
Ge1 Ge 0.000 0.000 0.000
Ge2 Ge 0.065 0.411 0.461
Ge3 Ge 0.254 0.666 0.698
Ge4 Ge 0.694 0.650 0.296
S1 S 0.513 0.369 0.141
S2 S 0.899 0.009 0.627
```

Formation energy from raw total energies in kJ/mol of atoms: 0.4
Magnetic moment in μB/f.u.: 0.00
Polymorph energy (0 for the lowest one) in meV per atom: 51

(4)
# GaSi2NiB

GaSi2NiB after structural relaxation (PBE-GGA, Alexandria via LeMat-Bulk).

Cell and atoms, written as CIF:
```
data_GaSi2NiB
_chemical_formula_sum 'Ga1 Si2 Ni1 B1'
_space_group_name_H-M_alt 'P 4/m m m'
_space_group_IT_number 123
_space_group_name_Hall '-P 4 2'
_cell_length_a 4.833
_cell_length_b 4.833
_cell_length_c 3.730
_cell_angle_alpha 90.00
_cell_angle_beta 90.00
_cell_angle_gamma 90.00
loop_
_atom_site_label
_atom_site_type_symbol
_atom_site_fract_x
_atom_site_fract_y
_atom_site_fract_z
Ga1 Ga 0.000 0.000 0.000
Si1 Si 0.000 0.500 0.000
Ni1 Ni 0.500 0.500 0.500
B1 B 0.000 0.000 0.500
```

Formation energy from raw total energies in kJ/mol of atoms: 138.4
Magnetic moment in μB/f.u.: 0.00

(5)
# SrErPtAu

SrErPtAu after structural relaxation (PBE-GGA, Alexandria via LeMat-Bulk).

Cell and atoms, written as CIF:
```
data_SrErPtAu
_chemical_formula_sum 'Sr4 Er4 Pt4 Au4'
_space_group_name_H-M_alt 'F -4 3 m'
_space_group_IT_number 216
_space_group_name_Hall 'F -4 2 3'
_cell_length_a 7.240
_cell_length_b 7.240
_cell_length_c 7.240
_cell_angle_alpha 90.00
_cell_angle_beta 90.00
_cell_angle_gamma 90.00
loop_
_atom_site_label
_atom_site_type_symbol
_atom_site_fract_x
_atom_site_fract_y
_atom_site_fract_z
Sr1 Sr 0.000 0.000 0.000
Er1 Er 0.000 0.000 0.500
Pt1 Pt 0.250 0.250 0.250
Au1 Au 0.250 0.250 0.750
```

Energy relative to the elements in meV/atom: -810
Magnetic moment in μB/f.u.: 0.00